The following is a DFT calculation (PBE) of crystalline CdAsSeBr2 at its relaxed geometry. Values from VASP.

Symmetry = P4/mmm, No. 123
Formation energy (no corrections) = 0.36 eV/atom

Quantum ESPRESSO input file:
```
&SYSTEM
  ibrav = 0, nat = 5, ntyp = 4
/
ATOMIC_SPECIES
Cd 112.41 Cd.upf
As 74.92 As.upf
Se 78.96 Se.upf
Br 79.90 Br.upf
ATOMIC_POSITIONS angstrom
Cd 0.000 0.000 0.000
As 2.695 2.695 0.000
Se 2.695 2.695 2.597
Br 0.000 2.695 2.597
Br 2.695 0.000 2.597
CELL_PARAMETERS angstrom
5.391 0.000 0.000
0.000 5.391 0.000
0.000 0.000 5.193
```

***

The following is a DFT calculation (PBE) of crystalline Sm2GeO at its relaxed geometry. Values from VASP.

Symmetry = R-3m, No. 166
Formation energy (no corrections) = -1.50 eV/atom

Quantum ESPRESSO input file:
```
&SYSTEM
  ibrav = 0, nat = 4, ntyp = 3
/
ATOMIC_SPECIES
Sm 150.36 Sm.upf
Ge 72.64 Ge.upf
O 16.00 O.upf
ATOMIC_POSITIONS angstrom
Sm 0.000 0.000 2.095
Sm 0.000 0.000 19.506
Ge 0.000 0.000 10.800
O 0.000 0.000 0.000
CELL_PARAMETERS angstrom
2.273 1.313 7.200
-2.273 1.313 7.200
0.000 -2.625 7.200
```

***

The following is a DFT calculation (PBE) of crystalline CeEu2Ag at its relaxed geometry. Values from VASP.

Symmetry = P4/mmm, No. 123

Quantum ESPRESSO input file:
```
&SYSTEM
  ibrav = 0, nat = 4, ntyp = 3
/
ATOMIC_SPECIES
Ce 140.12 Ce.upf
Eu 151.96 Eu.upf
Ag 107.87 Ag.upf
ATOMIC_POSITIONS angstrom
Ce 0.000 0.000 0.000
Eu 1.901 1.901 2.610
Eu 1.901 1.901 6.362
Ag 0.000 0.000 4.486
CELL_PARAMETERS angstrom
3.802 0.000 0.000
0.000 3.802 0.000
0.000 0.000 8.972
```

***

The following is a DFT calculation (PBE) of crystalline Pa2NbAl6 at its relaxed geometry. Values from VASP.

Symmetry = P6/mmm, No. 191

Quantum ESPRESSO input file:
```
&SYSTEM
  ibrav = 0, nat = 9, ntyp = 3
/
ATOMIC_SPECIES
Pa 231.04 Pa.upf
Nb 92.91 Nb.upf
Al 26.98 Al.upf
ATOMIC_POSITIONS angstrom
Pa 0.000 4.579 0.000
Pa 3.965 2.289 0.000
Nb 0.000 0.000 0.000
Al -1.277 2.212 1.573
Al -2.688 4.656 1.573
Al 2.554 0.000 1.573
Al 1.277 2.212 1.573
Al 5.376 0.000 1.573
Al 2.688 4.656 1.573
CELL_PARAMETERS angstrom
7.930 0.000 0.000
-3.965 6.868 0.000
0.000 0.000 3.145
```

***

The following is a DFT calculation (PBE) of crystalline Na2Ga2Sn at its relaxed geometry. Values from VASP.

Symmetry = C2/c, No. 15

Quantum ESPRESSO input file:
```
&SYSTEM
  ibrav = 0, nat = 10, ntyp = 3
/
ATOMIC_SPECIES
Na 22.99 Na.upf
Ga 69.72 Ga.upf
Sn 118.71 Sn.upf
ATOMIC_POSITIONS angstrom
Na 1.229 0.801 1.123
Na 0.392 -0.801 5.089
Na 8.470 0.801 2.843
Na 7.633 -0.801 6.810
Ga 2.841 0.860 3.952
Ga 2.003 -0.860 7.918
Ga 6.859 0.860 0.014
Ga 6.021 -0.860 3.980
Sn 4.850 0.715 1.983
Sn 4.012 -0.715 5.949
CELL_PARAMETERS angstrom
5.269 -3.085 0.000
5.269 3.085 0.000
-1.675 0.000 7.932
```

***

The following is a DFT calculation (PBE) of crystalline Tb3NdCd3 at its relaxed geometry. Values from VASP.

Symmetry = Cmmm, No. 65

Quantum ESPRESSO input file:
```
&SYSTEM
  ibrav = 0, nat = 14, ntyp = 3
/
ATOMIC_SPECIES
Tb 158.93 Tb.upf
Nd 144.24 Nd.upf
Cd 112.41 Cd.upf
ATOMIC_POSITIONS angstrom
Tb 2.505 0.000 3.535
Tb 5.322 2.766 0.000
Tb 5.322 2.748 3.535
Tb 5.322 -2.748 3.535
Tb 5.322 -2.766 0.000
Tb 8.139 0.000 3.535
Nd 2.463 0.000 0.000
Nd 8.181 0.000 0.000
Cd 2.661 2.718 1.801
Cd 2.661 2.718 5.269
Cd 2.661 -2.718 1.801
Cd 2.661 -2.718 5.269
Cd 5.322 0.000 1.772
Cd 5.322 0.000 5.299
CELL_PARAMETERS angstrom
5.322 -5.436 0.000
5.322 5.436 0.000
0.000 0.000 7.070
```

***

The following is a DFT calculation (PBE) of crystalline Mg2Pd4Pt at its relaxed geometry. Values from VASP.

Symmetry = C2/m, No. 12

Quantum ESPRESSO input file:
```
&SYSTEM
  ibrav = 0, nat = 7, ntyp = 3
/
ATOMIC_SPECIES
Mg 24.30 Mg.upf
Pd 106.42 Pd.upf
Pt 195.08 Pt.upf
ATOMIC_POSITIONS angstrom
Mg 1.379 0.000 0.495
Mg 3.748 0.000 4.328
Pd 1.645 1.425 3.488
Pd 3.482 1.425 1.335
Pd 1.645 -1.425 3.488
Pd 3.482 -1.425 1.335
Pt -0.547 0.000 2.412
CELL_PARAMETERS angstrom
3.110 -3.793 0.000
3.110 3.793 0.000
-1.094 0.000 4.823
```

***

The following is a DFT calculation (PBE) of crystalline ScZn2Ga at its relaxed geometry. Values from VASP.

Symmetry = Cmcm, No. 63

Quantum ESPRESSO input file:
```
&SYSTEM
  ibrav = 0, nat = 8, ntyp = 3
/
ATOMIC_SPECIES
Sc 44.96 Sc.upf
Zn 65.41 Zn.upf
Ga 69.72 Ga.upf
ATOMIC_POSITIONS angstrom
Sc 1.640 7.681 3.276
Sc 1.640 -7.681 1.092
Zn 1.640 4.480 1.092
Zn 1.640 0.558 3.276
Zn 1.640 -0.558 1.092
Zn 1.640 -4.480 3.276
Ga 1.640 3.028 3.276
Ga 1.640 -3.028 1.092
CELL_PARAMETERS angstrom
1.640 -9.599 0.000
1.640 9.599 0.000
0.000 0.000 4.367
```

***

Values for uncorrected energy, eV/atom, ordered as above
-2.124 -6.252 -7.338 -5.917 -2.654 -3.202 -4.718 -3.322
Values for calculated volume, Å³ per atom, ordered as above
30.185 32.229 32.429 19.034 25.789 29.223 16.258 17.192
Values for mass density, g cm⁻³, ordered as above
4.69 5.02 7.07 6.95 3.92 7.78 9.77 5.93